Entry from Alexandria: an optimized crystal structure of Hf2ZrSn (PBE).

POSCAR file:
```
Hf2ZrSn
1.0
4.435 0.000 0.000
0.000 4.446 0.000
0.000 0.000 4.446
Hf Sn Zr
2 1 1
direct
0.000 0.000 0.500
0.000 0.500 0.000
0.500 0.000 0.000
0.500 0.500 0.500
```

## Properties
Formation enthalpy at 0 K in meV/atom: -283
DFT total energy in eV per cell: -33.6